VASP calculation (meta-GGA SCAN) on Tc2NiSbCl at its PBEsol-relaxed geometry.

a = 4.436 Å, b = 4.436 Å, c = 4.034 Å
α = 90.00°, β = 90.00°, γ = 90.00°
Space group P4/mmm (No. 123)
Symmetry-distinct sites (fractional):
Tc1 0.000 0.500 0.000 [2 per cell]
Ni1 0.000 0.000 0.500 [1 per cell]
Sb1 0.500 0.500 0.500 [1 per cell]
Cl1 0.000 0.000 0.000 [1 per cell]

- N(E_F) (states/eV per atom) = 1.195
- magnetization (μB/atom) = 0.0007
- uncorrected formation energy (kJ/mol of atoms) = 100
- mass density (g/cm³) = 8.6